Entry 1:
LiSnOF2 after structural relaxation, computed with PBE-GGA.

calculated total energy = -23.84 eV/cell
symmetry = P4/mmm, No. 123
offset from the most stable computed form = 0 meV per atom

abc: 4.4839 4.4839 4.1308
angles: 90.00 90.00 90.00
Last column: nearest neighbours and their distance in Å.
Positions (direct):
1 O 0.0000 0.0000 0.5000  2 Sn 2.07
2 Li 0.5000 0.5000 0.5000  8 F 3.05, 4 O 3.17
3 Sn 0.0000 0.0000 0.0000  2 O 2.07, 4 F 2.24
4 F 0.0000 0.5000 0.0000  2 Sn 2.24
5 F 0.5000 0.0000 0.0000  2 Sn 2.24

---

Entry 2:
SrLiO2F after structural relaxation, computed with PBE-GGA.

calculated total energy = -25.02 eV/cell
symmetry = P4/mmm, No. 123

abc: 3.8275 3.8275 4.0966
angles: 90.00 90.00 90.00
Last column: nearest neighbours and their distance in Å.
Positions (direct):
1 F 0.0000 0.0000 0.5000  2 Li 2.05
2 Sr 0.5000 0.5000 0.5000  4 F 2.71, 8 O 2.80
3 O 0.5000 0.0000 0.0000  2 Li 1.91
4 O 0.0000 0.5000 0.0000  2 Li 1.91
5 Li 0.0000 0.0000 0.0000  4 O 1.91, 2 F 2.05

---

Entry 3:
SrLiOF2 after structural relaxation, computed with PBE-GGA.

calculated total energy = -23.13 eV/cell
symmetry = P4/mmm, No. 123
offset from the most stable computed form = 460 meV per atom

abc: 4.7074 4.7074 4.7480
angles: 90.00 90.00 90.00
Last column: nearest neighbours and their distance in Å.
Positions (direct):
1 Li 0.5000 0.5000 0.5000  4 O 3.33, 8 F 3.34
2 O 0.0000 0.0000 0.5000  2 Sr 2.37
3 F 0.5000 0.0000 0.0000  2 Sr 2.35
4 F 0.0000 0.5000 0.0000  2 Sr 2.35
5 Sr 0.0000 0.0000 0.0000  4 F 2.35, 2 O 2.37

---

Entry 4:
SrLiOF2 after structural relaxation, computed with PBE-GGA.

calculated total energy = -25.43 eV/cell
symmetry = P4/mmm, No. 123
offset from the most stable computed form = 0 meV per atom

abc: 3.8459 3.8459 4.0865
angles: 90.00 90.00 90.00
Last column: nearest neighbours and their distance in Å.
Positions (direct):
1 F 0.5000 0.0000 0.0000  2 Li 1.92
2 F 0.0000 0.5000 0.0000  2 Li 1.92
3 O 0.0000 0.0000 0.5000  2 Li 2.04
4 Sr 0.5000 0.5000 0.5000  4 O 2.72, 8 F 2.81
5 Li 0.0000 0.0000 0.0000  4 F 1.92, 2 O 2.04

---

Entry 5:
SrLiO2F after structural relaxation, computed with PBE-GGA.

calculated total energy = -22.27 eV/cell
symmetry = P4/mmm, No. 123

abc: 4.6828 4.6828 4.7279
angles: 90.00 90.00 90.00
Last column: nearest neighbours and their distance in Å.
Positions (direct):
1 F 0.0000 0.0000 0.5000  2 Sr 2.36
2 O 0.0000 0.5000 0.0000  2 Sr 2.34
3 O 0.5000 0.0000 0.0000  2 Sr 2.34
4 Li 0.5000 0.5000 0.5000  4 F 3.31, 8 O 3.33
5 Sr 0.0000 0.0000 0.0000  4 O 2.34, 2 F 2.36

---

Entry 6:
Sr3LiTa4O12F2 after structural relaxation, computed with PBE-GGA.

calculated total energy = -184.24 eV/cell
symmetry = R-3m, No. 166

abc: 7.4698 7.4698 7.4698
angles: 60.92 60.92 60.92
Last column: nearest neighbours and their distance in Å.
Positions (direct):
1 O 0.9393 0.3132 0.3132  2 Ta 2.01
2 O 0.3214 0.9271 0.9271  2 Ta 2.02-2.03
3 O 0.0729 0.0729 0.6786  2 Ta 2.02-2.03
4 O 0.6786 0.0729 0.0729  2 Ta 2.02-2.03
5 O 0.6868 0.6868 0.0607  2 Ta 2.01
6 O 0.0729 0.6786 0.0729  2 Ta 2.02-2.03
7 O 0.3132 0.3132 0.9393  2 Ta 2.01
8 O 0.6868 0.0607 0.6868  2 Ta 2.01
9 O 0.0607 0.6868 0.6868  2 Ta 2.01
10 O 0.9271 0.9271 0.3214  2 Ta 2.02-2.03
11 O 0.9271 0.3214 0.9271  2 Ta 2.02-2.03
12 O 0.3132 0.9393 0.3132  2 Ta 2.01
13 Sr 0.0000 0.5000 0.5000  2 F 2.43, 6 O 2.67-2.69
14 Sr 0.5000 0.0000 0.5000  2 F 2.43, 6 O 2.67-2.69
15 Sr 0.5000 0.5000 0.0000  2 F 2.43, 6 O 2.67-2.69
16 F 0.6082 0.6082 0.6082  1 Li 1.97
17 F 0.3918 0.3918 0.3918  1 Li 1.97
18 Ta 0.0000 0.0000 0.0000  6 O 2.03
19 Ta 0.0000 0.0000 0.5000  6 O 2.01-2.02
20 Ta 0.5000 0.0000 0.0000  6 O 2.01-2.02
21 Ta 0.0000 0.5000 0.0000  6 O 2.01-2.02
22 Li 0.5000 0.5000 0.5000  2 F 1.97

---

| no. | formation energy (no corrections) (kJ per mole of atoms) |
| --- | --- |
| 1 | -178.0 |
| 2 | -186.0 |
| 3 | -209.0 |
| 4 | -253.5 |
| 5 | -132.8 |
| 6 | -292.2 |